1.
Y4CoC2S, optimized geometry, DFT PBE; magnetization = 0.126 μB per atom
1.0
3.6578 0.0000 0.0000
-1.8289 3.1678 0.0000
0.0000 0.0000 13.2985
Y C Co S
4 2 1 1
Cartesian
0.0000 0.0000 8.5540
0.0000 0.0000 4.7445
1.8289 1.0559 11.2678
1.8289 1.0559 2.0307
0.0000 2.1119 9.9055
0.0000 2.1119 3.3930
0.0000 0.0000 0.0000
1.8289 1.0559 6.6492

---

2.
GdMgZn, optimized geometry, DFT PBE; magnetization = 0.002 μB per atom
1.0
6.1684 -0.5629 -0.1770
2.5948 5.3638 -0.1571
-0.2250 -0.1077 7.9948
Mg Zn Gd
4 4 4
Cartesian
1.2215 2.3886 1.6051
6.3856 3.8804 3.4186
5.3852 0.5446 7.3043
1.6095 3.4222 6.6366
6.4972 4.2470 0.6169
3.5874 0.8659 5.1586
2.6615 3.1931 4.0030
2.4441 0.9614 7.5665
4.7223 3.5594 6.1201
3.5366 4.6064 1.4097
4.2684 1.4351 2.2408
0.5797 0.9119 4.6403

---

3.
ZnPbSO, optimized geometry, DFT PBE; polymorph energy (0 for the lowest one) = 0.0092 eV/atom
1.0
-2.6001 1.1588 5.2758
5.8684 -5.5482 4.1107
3.6446 4.4600 0.8166
Pb Zn O S
4 4 4 4
Cartesian
2.6951 1.2817 4.4495
3.4051 -0.0392 8.4954
2.8805 -2.8475 5.4540
2.1706 -1.5266 1.4081
6.6890 0.2898 9.3692
5.6512 -2.2898 7.3692
1.9343 1.8739 1.2171
2.9722 4.4535 3.2171
0.6540 0.3202 0.9179
4.3885 -3.8601 7.0824
1.6847 2.9030 2.9325
5.4191 -1.2773 9.0970
4.7605 -0.6795 5.8382
0.7968 -0.9089 4.0612
4.1901 -3.4674 2.8896
1.3671 1.8790 7.0097

---

4.
LiPaTa, optimized geometry, DFT PBE; polymorph energy (0 for the lowest one) = 0.3481 eV/atom; magnetization = 0.002 μB per atom
1.0
2.4056 -3.8497 0.2181
2.4675 -0.9310 3.7012
-1.2894 -3.3290 2.8124
Pa Li Ta
1 1 1
Cartesian
0.0000 0.0000 0.0000
0.8959 -2.0274 1.6829
2.6878 -6.0823 5.0488

---

5.
DyTc2, optimized geometry, DFT PBE; formation enthalpy at 0 K = -0.1459 eV per atom; polymorph energy (0 for the lowest one) = 0.0343 eV/atom; magnetization = 0.000 μB per atom
1.0
0.1496 -4.6556 2.7121
-1.2531 -0.1072 5.2413
-4.5852 -2.3193 1.6278
Tc Dy
4 2
Cartesian
-1.2628 -3.2667 5.1743
-3.5554 -4.4263 5.9882
-2.9288 -4.3727 3.3676
-3.6302 -2.0985 4.6322
-1.4222 -1.7705 2.3953
0.0000 0.0000 0.0000

---

6.
NaTaCdPt, optimized geometry, DFT PBE; polymorph energy (0 for the lowest one) = 0.0964 eV/atom; magnetization = 0.000 μB per atom
1.0
0.0000 3.3079 3.3079
3.3079 0.0000 3.3079
3.3079 3.3079 0.0000
Cd Na Ta Pt
1 1 1 1
Cartesian
0.0000 0.0000 0.0000
4.9619 4.9619 4.9619
1.6540 1.6540 1.6540
3.3079 3.3079 3.3079

---

7.
Lu2TlN, optimized geometry, DFT PBE; magnetization = 0.001 μB per atom
1.0
5.1686 -2.9839 0.0000
5.1686 2.9839 0.0000
-3.4486 0.0000 15.2593
Tl Lu N
6 12 6
Cartesian
4.3115 0.5000 11.4446
0.8528 0.5000 11.4444
6.0359 -0.5000 3.8149
4.3065 2.4956 3.8148
2.5822 -2.4957 11.4445
2.5771 -0.5000 3.8147
2.5802 -0.4972 13.9740
6.0290 -0.4972 8.9107
0.8597 0.4972 6.3486
4.3045 0.4972 6.3443
7.7533 0.4972 1.2811
0.8623 0.4981 1.2811
-0.8620 -0.4981 8.9107
6.0264 -0.4981 13.9783
7.7507 0.4981 6.3486
2.5841 -0.4972 8.9150
-0.8646 -0.4972 13.9783
4.3085 0.4972 1.2854
4.3077 -1.4913 0.0000
2.5843 1.4920 0.0000
6.0296 1.4913 0.0000
0.8600 -1.4920 7.6297
4.3053 -1.4912 7.6297
2.5834 1.4912 7.6297

---

8.
InTc2As2, optimized geometry, DFT PBE; magnetization = 0.000 μB per atom
1.0
1.8633 5.2080 -0.4174
-2.9876 3.5311 3.0619
2.4558 -4.8541 1.0843
Tc As In
2 2 1
Cartesian
1.8785 2.3617 0.9945
-0.5470 1.5232 2.7342
-0.4130 3.2099 0.9713
-0.7113 5.5292 1.6731
0.0000 0.0000 0.0000

---

9.
NiSnPb2, optimized geometry, DFT PBE; magnetization = 0.001 μB per atom
1.0
-2.2481 -2.6618 3.8417
2.2966 -0.2942 4.6408
-2.0240 2.5151 4.0590
Pb Sn Ni
2 1 1
Cartesian
-1.4816 -0.3307 9.4062
0.0000 0.0000 0.0000
-0.9878 -0.2205 6.2708
-0.4939 -0.1102 3.1354

---

10.
ZrTlCuIr, optimized geometry, DFT PBE; polymorph energy (0 for the lowest one) = 0.1511 eV/atom; magnetization = 0.000 μB per atom
1.0
4.5842 0.0579 0.8716
1.8290 -2.9989 3.0723
2.7018 -3.5037 -1.4841
Zr Tl Ir Cu
1 1 1 1
Cartesian
2.2787 -1.6112 0.6150
0.0000 0.0000 0.0000
4.5575 -3.2224 1.2299
6.8362 -4.8335 1.8449

---

11.
Gd2NiGe, optimized geometry, DFT PBE; magnetization = 0.001 μB per atom
1.0
-2.7557 -0.7476 2.9760
3.6352 -3.7569 2.4223
4.2382 -0.0892 3.9021
Ni Gd Ge
1 2 1
Cartesian
3.3580 -1.6404 2.6974
5.4019 -3.6857 6.9340
1.1034 -0.5390 0.8863
3.1277 -2.5748 5.1072

---

12.
Dy2TmCo2B2P3, optimized geometry, DFT PBE; magnetization = 0.000 μB per atom
1.0
-1.9206 1.9206 10.9024
1.9206 -1.9206 10.9024
1.9206 1.9206 -10.9024
P Dy B Tm Co
3 2 2 1 2
Cartesian
0.0000 0.0000 2.7022
0.0000 0.0000 19.1026
0.0000 0.0000 10.9024
0.0000 0.0000 7.8974
0.0000 0.0000 13.9074
0.0000 0.0000 4.6772
0.0000 0.0000 17.1276
0.0000 0.0000 0.0000
1.9206 0.0000 5.4512
0.0000 1.9206 5.4512

---

13.
TbScS2Cl2, optimized geometry, DFT PBE; magnetization = 0.000 μB per atom
1.0
3.8540 0.0000 0.0000
0.0000 5.2346 0.0000
0.0000 0.0000 8.2622
S Cl Sc Tb
2 2 1 1
Cartesian
0.0000 0.0000 7.6497
1.9270 2.6173 0.8090
1.9270 2.6173 5.2885
0.0000 0.0000 2.7836
1.9270 0.0000 1.1326
0.0000 2.6173 7.1232

---

14.
NaErAu, optimized geometry, DFT PBE; polymorph energy (0 for the lowest one) = 0.0000 eV/atom; magnetization = 0.000 μB per atom
1.0
-1.7660 -1.7706 4.1616
-4.5998 0.9029 1.2643
-3.2863 -3.5729 -0.0826
Er Na Au
1 1 1
Cartesian
-2.4130 -1.1102 1.3358
-7.2391 -3.3305 4.0075
0.0000 0.0000 0.0000

---

15.
Hf3Te, optimized geometry, DFT PBE; magnetization = 0.001 μB per atom
1.0
4.8210 0.6039 6.8740
-6.6049 -4.2649 -3.0075
5.7891 -3.6725 -4.8844
Hf Te
12 4
Cartesian
2.9816 -5.7482 -2.2139
-0.2580 -5.0704 -1.2032
2.2185 -4.5642 0.8955
4.4213 -1.9388 -0.1571
0.5426 -5.1053 -4.2223
3.3046 -2.5525 3.5470
7.4812 -3.6392 -0.1098
0.2130 -3.2489 2.9531
-3.4254 -3.5905 -1.0177
5.6143 -3.5864 -2.6587
-0.7984 -2.0834 -0.1162
1.7362 -2.8731 -1.8038
-1.8779 -4.4173 1.2585
1.8167 -1.7229 1.0553
3.1638 -3.6090 -4.1870
4.9078 -4.9177 -0.1625

---

16.
RbCdIn2Ir, optimized geometry, DFT PBE; magnetization = 0.000 μB per atom
1.0
5.2206 0.0000 0.0000
0.0000 5.2206 0.0000
0.0000 0.0000 5.4146
In Rb Cd Ir
2 1 1 1
Cartesian
0.0000 2.6103 0.0000
2.6103 0.0000 0.0000
2.6103 2.6103 2.7073
0.0000 0.0000 2.7073
0.0000 0.0000 0.0000

---

17.
PmNdPt4, optimized geometry, DFT PBE; formation enthalpy at 0 K = -1.0552 eV per atom; magnetization = 0.000 μB per atom
1.0
0.1459 0.0613 5.4942
-0.0322 4.7893 2.6968
-4.4472 1.5190 2.8505
Pt Nd Pm
4 1 1
Cartesian
-1.6248 2.3881 4.1398
-1.6409 4.7841 5.4889
-1.5518 2.4188 6.8884
-3.8496 3.1481 5.5658
-3.2501 4.7772 8.2811
0.0000 0.0000 0.0000

---

18.
RbWAuSeS2, optimized geometry, DFT PBE; magnetization = 0.333 μB per atom
1.0
-5.9442 -0.1743 -5.6021
3.6630 -2.6183 6.8172
-5.2518 6.6253 5.3665
W S Au Se Rb
2 4 2 2 2
Cartesian
-3.7665 1.9164 3.2908
-1.1406 -1.3963 0.6076
-0.0518 1.0772 8.3360
-2.4676 4.1247 10.8045
-5.0654 -0.2920 -4.2229
-7.4812 2.7555 -1.7544
-0.9716 2.5276 9.9427
-6.5614 1.3051 -3.3611
-3.0531 0.4126 1.1742
-4.4799 3.4202 5.4074
-7.5205 4.1937 1.4769
-0.0126 -0.3609 5.1047

---

19.
Na2ScTaS4, optimized geometry, DFT PBE; magnetization = 0.010 μB per atom
1.0
3.5100 0.0000 0.0000
-1.7550 3.0397 0.0000
0.0000 0.0000 14.1293
Na S Ta Sc
2 4 1 1
Cartesian
0.0000 0.0000 10.5918
0.0000 0.0000 3.5375
1.7550 1.0132 12.6116
0.0000 2.0265 5.4789
1.7550 1.0132 1.5177
0.0000 2.0265 8.6504
0.0000 0.0000 0.0000
0.0000 0.0000 7.0646

---

20.
Compound: RbZnTe3Pd
Source: the Open Quantum Materials Database
Functional: PBE
Structure: optimized geometry

Structure (POSCAR):
```
RbZnTe3Pd
1.0
2.1129 -7.8169 0.0000
2.1129 7.8169 0.0000
0.0000 0.0000 11.4677
Te Zn Pd Rb
6 2 2 2
Cartesian
2.1129 -1.7212 5.3340
2.1129 6.9271 8.6008
2.1129 1.7212 6.1337
2.1129 1.7212 11.0678
2.1129 -6.9271 2.8669
2.1129 -1.7212 0.3999
2.1129 0.6818 8.6008
2.1129 -0.6818 2.8669
0.0000 0.0000 5.7338
0.0000 0.0000 0.0000
2.1129 3.9760 2.8669
2.1129 -3.9760 8.6008
```

---

21.
Tb3Re3W2N12, optimized geometry, DFT PBE; magnetization = 0.000 μB per atom
1.0
10.6032 -1.3770 -2.6578
-1.0242 0.3348 10.9648
-5.9064 -8.4035 -3.9853
Tb N Re W
12 48 12 8
Cartesian
7.1611 -3.0965 3.5311
5.6095 -4.1422 -2.1172
-1.9368 -5.3035 6.4389
1.5284 -1.2692 2.9492
1.3011 -6.8703 4.9441
2.1442 -8.1766 1.3725
-3.4884 -6.3492 0.7906
1.2029 -8.1300 -2.4071
4.8182 -6.2060 3.4072
2.4698 -1.3157 6.7288
-1.1455 -3.2398 0.9145
2.3716 -2.5754 -0.6224
3.4192 -1.9883 4.5546
7.5299 -3.8377 -0.4176
-3.8573 -5.6081 4.7393
4.7134 -1.4973 7.9947
0.3604 -4.6378 5.8389
5.5331 -1.5337 2.5370
9.1284 -1.9472 4.4741
2.7585 -4.9731 3.9715
3.0056 -6.7946 -3.6863
-0.6967 -0.9392 1.6805
5.7245 -6.0171 -0.5197
6.0660 -6.2487 -3.5398
-1.0408 -7.9485 -3.6730
-4.7884 -7.6623 2.5949
3.3122 -4.8079 -1.5172
0.2535 -7.4574 -0.2329
5.3990 -4.3593 4.9346
2.9407 -3.0540 1.7287
3.2199 -7.8397 -0.8207
0.9141 -4.4726 0.3502
3.2507 -5.9729 1.3681
0.0358 -1.8367 -0.9036
1.8931 -0.3932 0.6731
0.6671 -2.6511 8.0080
-2.5604 -8.0081 -0.9577
-2.1003 -5.1146 2.4121
-5.4558 -7.4986 -0.1524
4.3693 -8.5065 2.6412
0.4220 -3.4729 2.9536
-1.7263 -5.0865 -0.6130
7.6636 -3.9118 -3.4620
-3.9909 -5.5340 7.7836
-2.0519 -3.4286 4.8414
4.8186 -2.4250 -0.3579
8.4611 -1.7835 1.7268
1.3299 -9.1526 -4.6474
-1.8605 -7.9120 1.7847
3.6369 -7.6090 5.2253
-2.3933 -3.1970 7.8615
1.7796 -9.0526 3.6485
6.2330 -1.4377 5.2794
0.7320 -6.3918 2.5929
0.4527 -1.6060 5.1424
2.3427 -0.2931 8.9690
5.7729 -4.3311 1.9096
0.6734 -5.7231 -2.4895
2.9992 -3.7227 6.8112
-1.1460 -7.0208 4.6796
3.8768 -6.1594 -0.3724
3.6440 -3.7609 5.0680
4.7200 -7.4657 -3.9440
-1.0937 -6.6098 2.8673
0.0287 -5.6849 -0.7463
6.3179 -1.7903 7.1027
-2.6453 -7.6555 -2.7810
8.2835 -2.1716 -0.0825
-1.0474 -1.9801 8.2656
4.7663 -2.8360 1.4544
-4.6108 -7.2741 4.4042
-0.2042 -3.2863 4.6941
-3.4653 -4.0344 3.4897
1.8363 -4.7229 2.1608
-2.9532 -4.2018 -1.9927
4.7895 -0.5211 4.1535
2.3484 -4.8903 -3.3216
-0.5121 0.1674 5.4824
0.0000 0.0000 0.0000
5.3016 -0.6885 -1.3289

---

Number 1: raw total energy -60.3 eV per cell. Number 2: raw total energy -31.5 eV per cell. Number 3: raw total energy -71.3 eV per cell. Number 4: raw total energy -19.0 eV per cell. Number 5: raw total energy -51.5 eV per cell. Number 6: raw total energy -19.5 eV per cell. Number 7: raw total energy -143.5 eV per cell. Number 8: raw total energy -32.9 eV per cell. Number 9: raw total energy -15.6 eV per cell. Number 10: raw total energy -23.5 eV per cell. Number 11: raw total energy -22.1 eV per cell. Number 12: raw total energy -66.4 eV per cell. Number 13: raw total energy -35.4 eV per cell. Number 14: raw total energy -10.0 eV per cell. Number 15: raw total energy -137.5 eV per cell. Number 16: raw total energy -17.1 eV per cell. Number 17: raw total energy -40.1 eV per cell. Number 18: raw total energy -61.3 eV per cell. Number 19: raw total energy -48.2 eV per cell. Number 20: raw total energy -39.5 eV per cell. Number 21: raw total energy -755.9 eV per cell.